Computed, not measured: a geometry-optimized Na3CaTi3Fe5O16 structure at the GGA+U level of DFT.

Output
DOS(E_F) ... 0.01 states/eV per atom
Electronic total energy ... -6.937 eV per atom

Lattice parameters (Å, degrees): 8.445 3.800 10.877 90.00 93.04 90.00
Element x y z (fractional)
Na (0.000, 0.000, 0.000)
Na (0.062, 0.500, 0.634)
Na (0.421, 0.000, 0.107)
Ca (0.567, 0.500, 0.427)
Ti (0.428, 0.000, 0.742)
Ti (0.751, 0.500, 0.149)
Ti (0.927, 0.000, 0.344)
Fe (0.183, 0.500, 0.251)
Fe (0.240, 0.500, 0.904)
Fe (0.262, 0.000, 0.485)
Fe (0.739, 0.000, 0.599)
Fe (0.788, 0.500, 0.815)
O (0.018, 0.500, 0.846)
O (0.027, 0.000, 0.494)
O (0.167, 0.000, 0.282)
O (0.210, 0.500, 0.081)
O (0.235, 0.000, 0.662)
O (0.296, 0.500, 0.424)
O (0.313, 0.000, 0.903)
O (0.443, 0.500, 0.781)
O (0.496, 0.000, 0.565)
O (0.559, 0.500, 0.209)
O (0.710, 0.000, 0.775)
O (0.732, 0.000, 0.418)
O (0.741, 0.500, 0.984)
O (0.780, 0.500, 0.620)
O (0.816, 0.000, 0.167)
O (0.941, 0.500, 0.291)